[1]
First-principles (GGA-PBE) data for a relaxed MnSiHg2 crystal, as listed in the Alexandria database.

Cell lengths 6.8015, 6.8015, 6.8015 Å; angles 90.00, 90.00, 90.00 degrees
Closest atoms and distances in Å follow each position.
Space group F-43m (No. 216)
One atom of each set of equivalent atoms:
Mn1 0.0000 0.0000 0.0000 [4 per cell]  4 Hg 2.95, 4 Si 2.95
Si1 0.2500 0.2500 0.7500 [4 per cell]  4 Hg 2.95, 4 Mn 2.95
Hg1 0.0000 0.0000 0.5000 [4 per cell]  4 Hg 2.95, 4 Si 2.95
Hg2 0.2500 0.2500 0.2500 [4 per cell]  4 Hg 2.95, 4 Mn 2.95

Output
Crystal system = cubic
Density = 10.2 g cm⁻³
Spin magnetization = 3.99 μB per formula unit
VASP energy = -52.0 eV per cell



[2]
First-principles (GGA-PBE) data for a relaxed Mn2SiHg crystal, as listed in the Alexandria database.

Cell lengths 8.5627, 2.8784, 5.1647 Å; angles 90.00, 96.55, 90.00 degrees
Closest atoms and distances in Å follow each position.
Space group Cm (No. 8)
One atom of each set of equivalent atoms:
Mn1 0.0000 0.0000 0.0000 [2 per cell]  2 Si 2.46, 1 Hg 2.66, 3 Mn 2.68-2.71
Mn2 0.2366 0.5000 0.2455 [2 per cell]  3 Si 2.45-2.50, 3 Mn 2.68-2.71
Si1 0.4706 0.0000 0.3782 [2 per cell]  5 Mn 2.45-2.50
Hg1 0.2496 0.0000 0.7370 [2 per cell]  5 Mn 2.66-2.91, 1 Si 2.80, 2 Hg 2.88

Output
Crystal system = monoclinic
Density = 8.9 g cm⁻³
Polymorph energy (0 for the lowest one) = 226 meV/atom
Spin magnetization = 5.86 μB per formula unit
VASP energy = -45.7 eV per cell



[3]
First-principles (GGA-PBE) data for a relaxed MnSiHg2 crystal, as listed in the Alexandria database.

Cell lengths 2.8654, 3.8058, 7.5258 Å; angles 90.00, 90.38, 90.00 degrees
Closest atoms and distances in Å follow each position.
Space group Pm (No. 6)
One atom of each set of equivalent atoms:
Mn1 0.0000 0.0000 0.0000 [1 per cell]  4 Si 2.41
Si1 0.4990 0.5000 0.9555 [1 per cell]  4 Mn 2.41
Hg1 0.5046 0.0000 0.3280 [1 per cell]  2 Mn 2.85-2.86, 2 Hg 2.87
Hg2 0.9972 0.5000 0.6208 [1 per cell]  2 Hg 2.87, 2 Si 2.89-2.90

Output
Crystal system = monoclinic
Density = 9.8 g cm⁻³
Spin magnetization = 2.70 μB per formula unit
VASP energy = -14.4 eV per cell



[4]
First-principles (GGA-PBE) data for a relaxed MnSi2Hg4 crystal, as listed in the Alexandria database.

Cell lengths 5.4104, 5.4104, 12.7916 Å; angles 90.00, 90.00, 90.00 degrees
Closest atoms and distances in Å follow each position.
Space group I4/mmm (No. 139)
One atom of each set of equivalent atoms:
Mn1 0.0000 0.0000 0.0000 [2 per cell]  6 Hg 2.64-2.71
Si1 0.0000 0.0000 0.4110 [4 per cell]  1 Si 2.28
Hg1 0.0000 0.0000 0.2064 [4 per cell]  1 Si 2.62, 1 Mn 2.64
Hg2 0.0000 0.5000 0.0000 [4 per cell]  2 Mn 2.71, 4 Si 2.93

Output
Crystal system = tetragonal
Density = 8.1 g cm⁻³
Spin magnetization = 3.72 μB per formula unit
VASP energy = -34.6 eV per cell



[5]
First-principles (GGA-PBE) data for a relaxed MnSiHg2 crystal, as listed in the Alexandria database.

Cell lengths 3.3161, 3.3161, 25.3102 Å; angles 90.00, 90.00, 120.00 degrees
Closest atoms and distances in Å follow each position.
Space group R-3m (No. 166, hexagonal axes)
One atom of each set of equivalent atoms:
Mn1 0.0000 0.0000 0.0000 [3 per cell]  6 Hg 2.84
Si1 0.0000 0.0000 0.5000 [3 per cell]  6 Hg 2.85
Hg1 0.0000 0.0000 0.2503 [6 per cell]  3 Mn 2.84, 3 Si 2.85

Output
Crystal system = trigonal
Density = 10.0 g cm⁻³
Spin magnetization = 3.96 μB per formula unit
VASP energy = -39.5 eV per cell



[6]
First-principles (GGA-PBE) data for a relaxed MnSi2Hg crystal, as listed in the Alexandria database.

Cell lengths 4.2551, 3.5561, 4.7902 Å; angles 90.00, 111.03, 90.00 degrees
Closest atoms and distances in Å follow each position.
Space group P2/m (No. 10)
One atom of each set of equivalent atoms:
Mn1 0.0000 0.0000 0.0000 [1 per cell]  6 Si 2.57-2.77
Si1 0.5000 0.0000 0.5000 [1 per cell]  2 Mn 2.57, 4 Hg 2.77
Si2 0.5000 0.5000 0.0000 [1 per cell]  2 Hg 2.57, 4 Mn 2.77
Hg1 0.0000 0.5000 0.5000 [1 per cell]  6 Si 2.57-2.77

Output
Crystal system = monoclinic
Density = 7.7 g cm⁻³
Spin magnetization = 3.20 μB per formula unit
VASP energy = -18.5 eV per cell



[7]
First-principles (GGA-PBE) data for a relaxed MnSiHg2 crystal, as listed in the Alexandria database.

Cell lengths 3.3292, 3.3292, 7.9322 Å; angles 90.00, 90.00, 90.00 degrees
Closest atoms and distances in Å follow each position.
Space group P4mm (No. 99)
One atom of each set of equivalent atoms:
Mn1 0.0000 0.0000 0.0000 [1 per cell]  4 Si 2.36
Si1 0.5000 0.5000 0.9845 [1 per cell]  4 Mn 2.36
Hg1 0.0000 0.0000 0.3426 [1 per cell]  1 Mn 2.72
Hg2 0.5000 0.5000 0.6385 [1 per cell]  1 Si 2.74

Output
Crystal system = tetragonal
Density = 9.1 g cm⁻³
Spin magnetization = 2.68 μB per formula unit
VASP energy = -14.3 eV per cell



[8]
First-principles (GGA-PBE) data for a relaxed Mn2SiHg crystal, as listed in the Alexandria database.

Cell lengths 6.2744, 6.2744, 6.2744 Å; angles 90.00, 90.00, 90.00 degrees
Closest atoms and distances in Å follow each position.
Space group Fm-3m (No. 225)
One atom of each set of equivalent atoms:
Mn1 0.2500 0.2500 0.2500 [8 per cell]  4 Hg 2.72, 4 Si 2.72
Si1 0.0000 0.0000 0.0000 [4 per cell]  8 Mn 2.72
Hg1 0.0000 0.0000 0.5000 [4 per cell]  8 Mn 2.72

Output
Crystal system = cubic
Density = 9.1 g cm⁻³
Polymorph energy (0 for the lowest one) = 251 meV/atom
Spin magnetization = 6.39 μB per formula unit
VASP energy = -91.0 eV per cell



[9]
First-principles (GGA-PBE) data for a relaxed MnSiHg2 crystal, as listed in the Alexandria database.

Cell lengths 8.5702, 2.7765, 7.3649 Å; angles 90.00, 107.05, 90.00 degrees
Closest atoms and distances in Å follow each position.
Space group Cm (No. 8)
One atom of each set of equivalent atoms:
Mn1 0.0000 0.0000 0.0000 [2 per cell]  3 Si 2.34-2.39
Si1 0.2727 0.0000 0.9976 [2 per cell]  3 Mn 2.34-2.39
Hg1 0.1412 0.5000 0.3448 [2 per cell]  2 Hg 2.78, 2 Mn 2.84
Hg2 0.4480 0.0000 0.6512 [2 per cell]  2 Hg 2.78, 2 Mn 2.84

Output
Crystal system = monoclinic
Density = 9.6 g cm⁻³
Spin magnetization = 2.52 μB per formula unit
VASP energy = -28.1 eV per cell



[10]
First-principles (GGA-PBE) data for a relaxed MnSiHg2 crystal, as listed in the Alexandria database.

Cell lengths 9.9133, 3.2159, 4.9747 Å; angles 90.00, 100.89, 90.00 degrees
Closest atoms and distances in Å follow each position.
Space group C2/m (No. 12)
One atom of each set of equivalent atoms:
Mn1 0.0000 0.0000 0.0000 [2 per cell]  4 Si 2.96, 6 Hg 2.97-3.01, 2 Mn 3.22
Si1 0.0000 0.5000 0.5000 [2 per cell]  6 Hg 2.94-3.06, 4 Mn 2.96, 2 Si 3.22
Hg1 0.2447 0.5000 0.2460 [4 per cell]  3 Si 2.94-3.06, 6 Hg 2.95-3.22, 3 Mn 2.97-3.01

Output
Crystal system = monoclinic
Density = 10.3 g cm⁻³
Spin magnetization = 4.07 μB per formula unit
VASP energy = -26.8 eV per cell



[11]
First-principles (GGA-PBE) data for a relaxed MnSi2Hg crystal, as listed in the Alexandria database.

Cell lengths 2.7994, 4.8963, 4.9598 Å; angles 90.00, 90.00, 90.00 degrees
Closest atoms and distances in Å follow each position.
Space group Pmmm (No. 47)
One atom of each set of equivalent atoms:
Mn1 0.0000 0.0000 0.0000 [1 per cell]  2 Mn 2.80, 4 Si 2.82, 4 Hg 2.85
Si1 0.0000 0.5000 0.5000 [1 per cell]  6 Si 2.80-2.85, 4 Hg 2.82
Si2 0.5000 0.5000 0.0000 [1 per cell]  6 Si 2.80-2.85, 4 Mn 2.82
Hg1 0.5000 0.0000 0.5000 [1 per cell]  2 Hg 2.80, 4 Si 2.82, 4 Mn 2.85

Output
Crystal system = orthorhombic
Density = 7.6 g cm⁻³
Spin magnetization = 3.47 μB per formula unit
VASP energy = -18.2 eV per cell



[12]
First-principles (GGA-PBE) data for a relaxed Mn2SiHg crystal, as listed in the Alexandria database.

Cell lengths 5.5680, 7.6210, 2.8395 Å; angles 90.00, 90.00, 90.00 degrees
Closest atoms and distances in Å follow each position.
Space group Cmmm (No. 65)
One atom of each set of equivalent atoms:
Mn1 0.2500 0.2500 0.0000 [4 per cell]  4 Hg 2.75, 4 Si 2.75, 4 Mn 2.78-2.84
Si1 0.0000 0.0000 0.5000 [2 per cell]  8 Mn 2.75, 2 Hg 2.78, 2 Si 2.84
Hg1 0.0000 0.5000 0.5000 [2 per cell]  8 Mn 2.75, 2 Si 2.78, 2 Hg 2.84

Output
Crystal system = orthorhombic
Density = 9.3 g cm⁻³
Polymorph energy (0 for the lowest one) = 198 meV/atom
Spin magnetization = 5.93 μB per formula unit
VASP energy = -45.9 eV per cell



[13]
First-principles (GGA-PBE) data for a relaxed Mn2SiHg crystal, as listed in the Alexandria database.

Cell lengths 2.9125, 2.9125, 25.0157 Å; angles 90.00, 90.00, 120.00 degrees
Closest atoms and distances in Å follow each position.
Space group R-3m (No. 166, hexagonal axes)
One atom of each set of equivalent atoms:
Mn1 0.0000 0.0000 0.2402 [6 per cell]  3 Si 2.49
Si1 0.0000 0.0000 0.5000 [3 per cell]  6 Mn 2.49
Hg1 0.0000 0.0000 0.0000 [3 per cell]  6 Mn 2.87, 6 Hg 2.91

Output
Crystal system = trigonal
Density = 9.2 g cm⁻³
Polymorph energy (0 for the lowest one) = 170 meV/atom
Spin magnetization = 5.66 μB per formula unit
VASP energy = -69.2 eV per cell



[14]
First-principles (GGA-PBE) data for a relaxed MnSi2Hg crystal, as listed in the Alexandria database.

Cell lengths 3.9420, 3.9420, 8.4390 Å; angles 90.00, 90.00, 90.00 degrees
Closest atoms and distances in Å follow each position.
Space group I4/mmm (No. 139)
One atom of each set of equivalent atoms:
Mn1 0.0000 0.0000 0.0000 [2 per cell]  4 Hg 2.79, 8 Si 2.89
Si1 0.0000 0.5000 0.2500 [4 per cell]  4 Si 2.79, 4 Hg 2.89, 4 Mn 2.89
Hg1 0.0000 0.0000 0.5000 [2 per cell]  4 Mn 2.79, 8 Si 2.89

Output
Crystal system = tetragonal
Density = 7.9 g cm⁻³
Spin magnetization = 3.28 μB per formula unit
VASP energy = -36.9 eV per cell



[15]
First-principles (GGA-PBE) data for a relaxed MnSi2Hg crystal, as listed in the Alexandria database.

Cell lengths 6.5543, 6.5543, 6.5543 Å; angles 90.00, 90.00, 90.00 degrees
Closest atoms and distances in Å follow each position.
Space group F-43m (No. 216)
One atom of each set of equivalent atoms:
Mn1 0.0000 0.0000 0.0000 [4 per cell]  4 Hg 2.84, 4 Si 2.84
Si1 0.0000 0.0000 0.5000 [4 per cell]  4 Si 2.84, 4 Hg 2.84
Si2 0.2500 0.2500 0.7500 [4 per cell]  4 Mn 2.84, 4 Si 2.84
Hg1 0.2500 0.2500 0.2500 [4 per cell]  4 Mn 2.84, 4 Si 2.84

Output
Crystal system = cubic
Density = 7.4 g cm⁻³
Spin magnetization = 3.79 μB per formula unit
VASP energy = -71.4 eV per cell



[16]
First-principles (GGA-PBE) data for a relaxed MnSiHg2 crystal, as listed in the Alexandria database.

Cell lengths 4.1445, 4.1445, 4.4749 Å; angles 90.00, 90.00, 90.00 degrees
Closest atoms and distances in Å follow each position.
Space group P4/mmm (No. 123)
One atom of each set of equivalent atoms:
Mn1 0.0000 0.0000 0.0000 [1 per cell]  4 Si 2.93, 8 Hg 3.05
Si1 0.5000 0.5000 0.0000 [1 per cell]  4 Mn 2.93, 8 Hg 3.05
Hg1 0.0000 0.5000 0.5000 [2 per cell]  4 Hg 2.93, 4 Mn 3.05, 4 Si 3.05

Output
Crystal system = tetragonal
Density = 10.5 g cm⁻³
Spin magnetization = 4.05 μB per formula unit
VASP energy = -13.4 eV per cell



[17]
First-principles (GGA-PBE) data for a relaxed MnSiHg4 crystal, as listed in the Alexandria database.

Cell lengths 8.2386, 8.2386, 8.2386 Å; angles 90.00, 90.00, 90.00 degrees
Closest atoms and distances in Å follow each position.
Space group F-43m (No. 216)
One atom of each set of equivalent atoms:
Mn1 0.0000 0.0000 0.0000 [4 per cell]  12 Hg 3.42, 4 Si 3.57
Si1 0.2500 0.2500 0.7500 [4 per cell]  12 Hg 3.42, 4 Mn 3.57
Hg1 0.1251 0.1251 0.3749 [16 per cell]  6 Hg 2.91

Output
Crystal system = cubic
Density = 10.5 g cm⁻³
Spin magnetization = 4.39 μB per formula unit
VASP energy = -47.1 eV per cell



[18]
First-principles (GGA-PBE) data for a relaxed Mn2SiHg crystal, as listed in the Alexandria database.

Cell lengths 3.8221, 3.8221, 17.3395 Å; angles 90.00, 90.00, 90.00 degrees
Closest atoms and distances in Å follow each position.
Space group I-42d (No. 122)
One atom of each set of equivalent atoms:
Mn1 0.1372 0.2500 0.1250 [8 per cell]  2 Mn 2.18, 2 Si 2.43
Si1 0.0000 0.0000 0.0000 [4 per cell]  4 Mn 2.43, 4 Hg 2.70
Hg1 0.0000 0.0000 0.5000 [4 per cell]  4 Si 2.70, 4 Mn 2.74

Output
Crystal system = tetragonal
Density = 8.9 g cm⁻³
Polymorph energy (0 for the lowest one) = 585 meV/atom
Spin magnetization = 0.00 μB per formula unit
VASP energy = -85.6 eV per cell



[19]
First-principles (GGA-PBE) data for a relaxed MnSi2Hg crystal, as listed in the Alexandria database.

Cell lengths 7.9272, 3.1096, 5.5262 Å; angles 90.00, 101.59, 90.00 degrees
Closest atoms and distances in Å follow each position.
Space group C2/m (No. 12)
One atom of each set of equivalent atoms:
Mn1 0.0000 0.0000 0.0000 [2 per cell]  6 Si 2.43-2.50
Si1 0.2292 0.5000 0.1657 [4 per cell]  3 Mn 2.43-2.50, 2 Si 2.47
Hg1 0.0000 0.5000 0.5000 [2 per cell]  6 Si 2.84-2.97, 2 Hg 3.11, 4 Mn 3.17

Output
Crystal system = monoclinic
Density = 7.8 g cm⁻³
Spin magnetization = 2.17 μB per formula unit
VASP energy = -38.7 eV per cell



[20]
First-principles (GGA-PBE) data for a relaxed MnSiHg2 crystal, as listed in the Alexandria database.

Cell lengths 3.0922, 3.0922, 27.5560 Å; angles 90.00, 90.00, 120.00 degrees
Closest atoms and distances in Å follow each position.
Space group R3m (No. 160, hexagonal axes)
One atom of each set of equivalent atoms:
Mn1 0.0000 0.0000 0.0000 [3 per cell]  3 Si 2.46
Si1 0.0000 0.0000 0.2720 [3 per cell]  3 Mn 2.46
Hg1 0.0000 0.0000 0.5151 [3 per cell]  3 Si 3.06, 9 Hg 3.09-3.30
Hg2 0.0000 0.0000 0.7477 [3 per cell]  3 Mn 2.86, 6 Hg 3.09

Output
Crystal system = trigonal
Density = 10.6 g cm⁻³
Spin magnetization = 3.13 μB per formula unit
VASP energy = -42.0 eV per cell